(1)
Density functional theory data (GGA-PBE) for a relaxed Li2AlCd2InAu2 crystal.

Symmetry: P-4m2 (115)
Final energy (eV per formula unit): -21.3

Structure (extended XYZ):
```
8
Lattice="4.643 0.000 0.000 0.000 4.643 0.000 0.000 0.000 6.591" Properties=species:S:1:pos:R:3 pbc="T T T"
Li 0.000 2.321 1.576
Li 2.321 0.000 5.015
Al 2.321 2.321 0.000
Cd 0.000 0.000 0.000
Cd 2.321 2.321 3.295
In 0.000 0.000 3.295
Au 0.000 2.321 5.088
Au 2.321 0.000 1.503
```

---

(2)
Density functional theory data (GGA-PBE) for a relaxed CoSnMoOs crystal.

Total moment (μB per cell): 2.46
Symmetry: F-43m (216)
Final energy (eV per formula unit): -32.1

Structure (extended XYZ):
```
4
Lattice="0.000 3.135 3.135 3.135 0.000 3.135 3.135 3.135 0.000" Properties=species:S:1:pos:R:3 pbc="T T T"
Co 0.000 0.000 0.000
Sn 4.703 4.703 4.703
Mo 1.568 1.568 1.568
Os 3.135 3.135 3.135
```

---

(3)
Density functional theory data (GGA-PBE) for a relaxed Rb2ZnHg3 crystal.

Symmetry: Cm (8)
Final energy (eV per formula unit): -5.1

Structure (extended XYZ):
```
6
Lattice="6.249 -2.656 0.000 6.249 2.656 0.000 -5.827 0.000 6.305" Properties=species:S:1:pos:R:3 pbc="T T T"
Rb 0.000 0.000 0.000
Rb -2.210 0.000 3.958
Zn 3.530 0.000 1.404
Hg 1.560 0.000 3.578
Hg 6.369 0.000 2.559
Hg 8.854 0.000 0.404
```

---

(4)
Density functional theory data (GGA-PBE) for a relaxed TmTaN2O crystal.

Total moment (μB per cell): 0.01
Symmetry: P6_3/mmc (194)
Final energy (eV per formula unit): -46.0

Structure (extended XYZ):
```
30
Lattice="5.673 0.000 0.000 -2.836 4.913 0.000 0.000 0.000 14.023" Properties=species:S:1:pos:R:3 pbc="T T T"
Tm 0.000 0.000 3.506
Tm 0.000 0.000 10.518
Tm 0.000 3.275 1.787
Tm 0.000 3.275 5.225
Tm 2.836 1.638 8.799
Tm 2.836 1.638 12.236
Ta 0.000 0.000 0.000
Ta 0.000 0.000 7.012
Ta 0.000 3.275 9.059
Ta 0.000 3.275 11.976
Ta 2.836 1.638 2.047
Ta 2.836 1.638 4.965
N 0.000 1.547 8.316
N 0.000 1.547 12.719
N -1.497 4.139 8.316
N -1.497 4.139 12.719
N 1.340 0.773 1.305
N 1.340 0.773 5.707
N 1.497 4.139 8.316
N 1.497 4.139 12.719
N 4.333 0.773 1.305
N 4.333 0.773 5.707
N 2.836 3.366 1.305
N 2.836 3.366 5.707
O -1.334 2.505 3.506
O 1.334 2.505 3.506
O 0.000 4.815 3.506
O 2.836 0.098 10.518
O 1.503 2.408 10.518
O 4.170 2.408 10.518
```

---

(5)
Density functional theory data (GGA-PBE) for a relaxed NaTcAu crystal.

Total moment (μB per cell): 3.10
Symmetry: F-43m (216)
Final energy (eV per formula unit): -11.7

Structure (extended XYZ):
```
3
Lattice="0.000 3.213 3.213 3.213 0.000 3.213 3.213 3.213 0.000" Properties=species:S:1:pos:R:3 pbc="T T T"
Na 0.000 0.000 0.000
Tc 4.819 4.819 4.819
Au 3.213 3.213 3.213
```

---

(6)
Density functional theory data (GGA-PBE) for a relaxed PrYI2O2 crystal.

Total moment (μB per cell): 0.00
Symmetry: P4mm (99)
Final energy (eV per formula unit): -40.2

Structure (extended XYZ):
```
6
Lattice="4.026 0.000 0.000 0.000 4.026 0.000 0.000 0.000 9.263" Properties=species:S:1:pos:R:3 pbc="T T T"
Pr 0.000 0.000 0.000
Y 2.013 2.013 6.981
I 0.000 0.000 5.061
I 2.013 2.013 1.918
O 0.000 2.013 8.039
O 2.013 0.000 8.039
```

---

(7)
Density functional theory data (GGA-PBE) for a relaxed GdScAsO crystal.

Total moment (μB per cell): 0.30
Symmetry: P4/nmm (129)
Final energy (eV per formula unit): -27.0

Structure (extended XYZ):
```
8
Lattice="4.274 0.000 0.000 0.000 4.274 0.000 0.000 0.000 8.501" Properties=species:S:1:pos:R:3 pbc="T T T"
Gd 1.069 3.206 0.000
Gd 3.206 1.069 0.000
Sc 1.069 1.069 3.634
Sc 3.206 3.206 4.866
As 1.069 1.069 6.616
As 3.206 3.206 1.884
O 1.069 3.206 4.250
O 3.206 1.069 4.250
```

---

(8)
Density functional theory data (GGA-PBE) for a relaxed DyAl2Cu3 crystal.

Total moment (μB per cell): 0.00
Symmetry: P6/mmm (191)
Final energy (eV per formula unit): -25.3

Structure (extended XYZ):
```
6
Lattice="5.239 0.000 0.000 -2.620 4.537 0.000 0.000 0.000 3.997" Properties=species:S:1:pos:R:3 pbc="T T T"
Dy 0.000 0.000 0.000
Al 0.000 3.025 0.000
Al 2.620 1.512 0.000
Cu -1.310 2.269 1.999
Cu 2.620 0.000 1.999
Cu 1.310 2.269 1.999
```

---

(9)
Density functional theory data (GGA-PBE) for a relaxed PmYHo crystal.

ΔH_f (0 K) (meV per atom): 714
Total moment (μB per cell): 0.02
Symmetry: F-43m (216)
Final energy (eV per formula unit): -13.6

Structure (extended XYZ):
```
3
Lattice="0.000 3.856 3.856 3.856 0.000 3.856 3.856 3.856 0.000" Properties=species:S:1:pos:R:3 pbc="T T T"
Pm 0.000 0.000 0.000
Y 3.856 3.856 3.856
Ho 1.928 1.928 1.928
```

---

(10)
Density functional theory data (GGA-PBE) for a relaxed NaSmHgSe3 crystal.

Total moment (μB per cell): 0.00
Symmetry: Pnma (62)
Final energy (eV per formula unit): -23.4

Structure (extended XYZ):
```
24
Lattice="12.786 0.000 0.000 0.000 4.225 0.000 0.000 0.000 12.350" Properties=species:S:1:pos:R:3 pbc="T T T"
Na 1.718 1.056 0.054
Na 4.675 3.169 6.229
Na 8.111 1.056 6.122
Na 11.068 3.169 12.297
Sm 0.632 1.056 8.323
Sm 5.762 3.169 2.148
Sm 7.025 1.056 10.202
Sm 12.155 3.169 4.027
Hg 3.024 1.056 3.622
Hg 3.369 3.169 9.797
Hg 9.417 1.056 2.553
Hg 9.762 3.169 8.728
Se 0.738 3.169 10.437
Se 0.998 1.056 5.263
Se 2.907 3.169 1.854
Se 3.486 1.056 8.029
Se 5.395 3.169 11.438
Se 5.655 1.056 4.262
Se 7.131 3.169 8.089
Se 7.391 1.056 0.912
Se 9.300 3.169 4.321
Se 9.879 1.056 10.497
Se 11.788 3.169 7.088
Se 12.048 1.056 1.913
```

---

(11)
Density functional theory data (GGA-PBE) for a relaxed Pm2Si crystal.

Total moment (μB per cell): 1.88
Symmetry: Fd-3m (227)
Final energy (eV per formula unit): -11.6

Structure (extended XYZ):
```
6
Lattice="0.000 6.336 6.336 6.336 0.000 6.336 6.336 6.336 0.000" Properties=species:S:1:pos:R:3 pbc="T T T"
Pm 0.000 0.000 0.000
Pm 3.168 3.168 0.000
Pm 3.168 0.000 3.168
Pm 0.000 3.168 3.168
Si 1.584 1.584 1.584
Si 11.087 11.087 11.087
```

---

(12)
Density functional theory data (GGA-PBE) for a relaxed ThSnB4 crystal.

Total moment (μB per cell): 0.01
Symmetry: P6/mmm (191)
Final energy (eV per formula unit): -37.5

Structure (extended XYZ):
```
6
Lattice="3.251 0.000 0.000 -1.626 2.816 0.000 0.000 0.000 8.483" Properties=species:S:1:pos:R:3 pbc="T T T"
Th 0.000 0.000 0.000
Sn 0.000 0.000 4.241
B 0.000 1.877 2.088
B 0.000 1.877 6.395
B 1.626 0.939 2.088
B 1.626 0.939 6.395
```

---

(13)
Density functional theory data (GGA-PBE) for a relaxed Li14Ag2B crystal.

Symmetry: P4_2/mnm (136)
Final energy (eV per formula unit): -37.3

Structure (extended XYZ):
```
68
Lattice="10.045 0.000 0.000 0.000 10.045 0.000 0.000 0.000 11.167" Properties=species:S:1:pos:R:3 pbc="T T T"
Li 0.000 0.000 1.236
Li 0.000 0.000 9.930
Li 0.000 5.023 0.000
Li 0.000 5.023 5.583
Li 0.048 3.229 3.917
Li 0.048 3.229 7.250
Li 0.088 2.538 1.285
Li 0.088 2.538 9.881
Li 0.833 9.212 4.247
Li 0.833 9.212 6.920
Li 1.794 5.071 1.667
Li 1.794 5.071 9.500
Li 2.459 7.586 2.496
Li 2.459 7.586 8.670
Li 2.484 5.111 4.298
Li 2.484 5.111 6.869
Li 2.538 0.088 1.285
Li 2.538 0.088 9.881
Li 2.563 2.563 3.087
Li 2.563 2.563 8.080
Li 3.229 0.048 3.917
Li 3.229 0.048 7.250
Li 4.189 4.189 1.336
Li 4.189 4.189 9.830
Li 4.934 7.561 4.298
Li 4.934 7.561 6.869
Li 4.974 8.251 1.667
Li 4.974 8.251 9.500
Li 5.023 0.000 0.000
Li 5.023 0.000 5.583
Li 5.023 5.023 4.347
Li 5.023 5.023 6.820
Li 5.071 1.794 1.667
Li 5.071 1.794 9.500
Li 5.111 2.484 4.298
Li 5.111 2.484 6.869
Li 5.856 5.856 1.336
Li 5.856 5.856 9.830
Li 6.816 9.997 3.917
Li 6.816 9.997 7.250
Li 7.482 7.482 3.087
Li 7.482 7.482 8.080
Li 7.507 9.957 1.285
Li 7.507 9.957 9.881
Li 7.561 4.934 4.298
Li 7.561 4.934 6.869
Li 7.586 2.459 2.496
Li 7.586 2.459 8.670
Li 8.251 4.974 1.667
Li 8.251 4.974 9.500
Li 9.212 0.833 4.247
Li 9.212 0.833 6.920
Li 9.957 7.507 1.285
Li 9.957 7.507 9.881
Li 9.997 6.816 3.917
Li 9.997 6.816 7.250
Ag 1.785 1.785 5.583
Ag 2.488 7.557 5.583
Ag 2.535 2.535 0.000
Ag 3.237 6.808 0.000
Ag 6.808 3.237 0.000
Ag 7.510 7.510 0.000
Ag 7.557 2.488 5.583
Ag 8.260 8.260 5.583
B 1.670 8.375 0.000
B 3.353 3.353 5.583
B 6.692 6.692 5.583
B 8.375 1.670 0.000
```

---

(14)
Density functional theory data (GGA-PBE) for a relaxed TbNbIr crystal.

ΔH_f (0 K) (meV per atom): -141
Total moment (μB per cell): 0.05
Symmetry: F-43m (216)
Final energy (eV per formula unit): -24.0

Structure (extended XYZ):
```
3
Lattice="0.000 3.247 3.247 3.247 0.000 3.247 3.247 3.247 0.000" Properties=species:S:1:pos:R:3 pbc="T T T"
Tb 0.000 0.000 0.000
Nb 3.247 3.247 3.247
Ir 4.870 4.870 4.870
```

---

(15)
Density functional theory data (GGA-PBE) for a relaxed CsLiZrSe3 crystal.

Total moment (μB per cell): 0.01
Symmetry: P2_1/m (11)
Final energy (eV per formula unit): -29.9

Structure (extended XYZ):
```
12
Lattice="9.306 0.000 0.000 0.000 4.032 0.000 -3.973 0.000 9.345" Properties=species:S:1:pos:R:3 pbc="T T T"
Cs 1.097 1.008 2.502
Cs 4.235 3.024 6.842
Li -1.676 1.008 5.628
Li 7.009 3.024 3.717
Zr -0.384 3.024 7.893
Zr 5.717 1.008 1.452
Se -2.214 1.008 8.092
Se -0.215 3.024 5.277
Se 3.829 3.024 1.323
Se 1.504 1.008 8.022
Se 5.548 1.008 4.067
Se 7.546 3.024 1.252
```

---

(16)
Density functional theory data (GGA-PBE) for a relaxed CsPrSb crystal.

Total moment (μB per cell): 0.80
Symmetry: F-43m (216)
Final energy (eV per formula unit): -9.9

Structure (extended XYZ):
```
3
Lattice="0.000 3.919 3.919 3.919 0.000 3.919 3.919 3.919 0.000" Properties=species:S:1:pos:R:3 pbc="T T T"
Cs 0.000 0.000 0.000
Pr 1.960 1.960 1.960
Sb 3.919 3.919 3.919
```

---

(17)
Density functional theory data (GGA-PBE) for a relaxed Lu2Hf4Co3N3 crystal.

Total moment (μB per cell): 0.53
Symmetry: C2/c (15)
Final energy (eV per formula unit): -106.8

Structure (extended XYZ):
```
24
Lattice="4.769 -2.755 0.000 4.769 2.755 0.000 -3.286 0.000 13.273" Properties=species:S:1:pos:R:3 pbc="T T T"
Lu 2.335 2.295 8.260
Lu 2.275 2.295 11.650
Lu 3.977 -2.295 1.623
Lu 3.918 -2.295 5.014
Hf 2.350 0.453 1.264
Hf 2.346 0.492 5.373
Hf 0.708 -0.453 7.900
Hf 0.703 -0.492 12.010
Hf 5.550 0.492 1.264
Hf 5.545 0.453 5.373
Hf 3.907 -0.492 7.900
Hf 3.902 -0.453 12.010
Co -0.145 0.869 9.958
Co 1.497 -0.869 3.321
Co 3.948 0.391 3.318
Co 2.305 -0.391 9.955
Co 4.755 0.869 9.953
Co 6.398 -0.869 3.316
N 0.742 1.377 6.637
N 3.965 1.364 0.000
N 3.930 1.364 6.637
N 2.385 -1.377 0.000
N 2.323 -1.364 6.637
N 5.573 -1.364 0.000
```

---

(18)
Density functional theory data (GGA-PBE) for a relaxed RbSmTe4 crystal.

Total moment (μB per cell): 0.01
Symmetry: P4/nbm (125)
Final energy (eV per formula unit): -24.0

Structure (extended XYZ):
```
12
Lattice="6.926 0.000 0.000 0.000 6.926 0.000 0.000 0.000 9.315" Properties=species:S:1:pos:R:3 pbc="T T T"
Rb 1.732 1.732 0.000
Rb 5.195 5.195 0.000
Sm 1.732 1.732 4.658
Sm 5.195 5.195 4.658
Te 0.729 4.192 2.778
Te 0.729 6.197 6.538
Te 2.734 4.192 6.538
Te 2.734 6.197 2.778
Te 4.192 0.729 6.538
Te 4.192 2.734 2.778
Te 6.197 0.729 2.778
Te 6.197 2.734 6.538
```

---

(19)
Density functional theory data (GGA-PBE) for a relaxed SmGdCuTe3 crystal.

Total moment (μB per cell): 0.03
Symmetry: Cmcm (63)
Final energy (eV per formula unit): -28.8

Structure (extended XYZ):
```
12
Lattice="2.098 -7.136 0.000 2.098 7.136 0.000 0.000 0.000 11.270" Properties=species:S:1:pos:R:3 pbc="T T T"
Sm 2.098 3.844 8.452
Sm 2.098 -3.844 2.817
Gd 0.000 0.000 0.000
Gd 0.000 0.000 5.635
Cu 2.098 0.429 2.817
Cu 2.098 -0.429 8.452
Te 2.098 5.817 2.817
Te 2.098 2.124 0.782
Te 2.098 2.124 4.853
Te 2.098 -2.124 6.417
Te 2.098 -2.124 10.488
Te 2.098 -5.817 8.452
```

---

(20)
Density functional theory data (GGA-PBE) for a relaxed Sm5Te4Ir crystal.

Total moment (μB per cell): 0.58
Symmetry: I4/m (87)
Final energy (eV per formula unit): -57.6

Structure (extended XYZ):
```
10
Lattice="-4.934 4.934 3.134 4.934 -4.934 3.134 4.934 4.934 -3.134" Properties=species:S:1:pos:R:3 pbc="T T T"
Sm 0.000 0.000 0.000
Sm 4.012 2.337 0.000
Sm 2.597 -0.922 3.134
Sm 2.337 5.856 0.000
Sm 0.922 2.597 3.134
Te 6.821 0.873 0.000
Te 0.873 3.047 0.000
Te 4.061 1.887 3.134
Te -1.887 4.061 3.134
Ir 0.000 0.000 3.134
```